1.
A geometry-optimized LaGeC2O structure. Source: the Alexandria database, functional GGA-PBE.

The total moment comes out at 0.000 μB per cell. As for the formation energy (no corrections): 0.662 eV/atom. Its total energy is -5.928 eV/atom.

Unit cell a=3.7693 b=6.5874 c=3.7693 alpha=90.00 beta=90.00 gamma=90.00
Positions (direct):
1 C 0.5000 0.0000 0.0000
2 Ge 0.0000 0.0000 0.0000
3 C 0.0000 0.0000 0.5000
4 La 0.0000 0.5000 0.0000
5 O 0.5000 0.5000 0.5000

2.
A geometry-optimized La2Ge2Os2C structure. Source: the Alexandria database, functional GGA-PBE.

The total moment comes out at 0.000 μB per cell. Its total energy is -7.825 eV/atom. As for the formation energy from the elements: -55 kJ/mol of atoms.

Unit cell a=4.2550 b=6.1007 c=6.2195 alpha=72.10 beta=70.00 gamma=69.59
Positions (direct):
1 La 0.4402 0.8228 0.2969
2 C 0.0000 0.0000 0.0000
3 Os 0.8054 0.3018 0.0875
4 Ge 0.8318 0.6197 0.7166
5 Os 0.1946 0.6982 0.9125
6 Ge 0.1682 0.3803 0.2834
7 La 0.5598 0.1772 0.7031